Compound: KCoP2O8
Source: Alexandria
Functional: GGA+U
Structure: relaxed

Cell and atoms, written as POSCAR:
```
KCoP2O8
1.0
4.734 0.000 0.000
-2.367 4.100 0.000
0.000 0.000 8.413
K Co P O
1 1 2 8
Direct
0.000 0.000 0.000
0.000 0.000 0.500
0.333 0.667 0.691
0.667 0.333 0.309
0.040 0.338 0.631
0.298 0.960 0.631
0.333 0.667 0.871
0.338 0.298 0.369
0.662 0.702 0.631
0.667 0.333 0.129
0.702 0.040 0.369
0.960 0.662 0.369
```

Results
Magnetization (μB per formula unit): 2.07
SG: P-3, No. 147
Total energy (eV per atom): -6.3610